This record from Alexandria via LeMat-Bulk describes a relaxed structure of Mg2TcOs. The functional is PBE.

Structure (POSCAR):
```
Mg2TcOs
1.0
1.5140 -2.3345 0.0000
1.5140 2.3345 0.0000
0.0000 0.0000 9.4092
Mg Tc Os
2 1 1
direct
0.0000 0.0000 0.0000
0.5000 0.5000 0.2867
0.0000 0.0000 0.5346
0.5000 0.5000 0.7565
```

Summary:
The calculated volume comes out at 66.5 Å³/cell. As for the formation energy from the elements: 297 meV per atom. The crystal system is orthorhombic. Its space group is Cmm2, No. 35. The theoretical density is 8410 kg/m3.